Record 1
Material: Al2CdAs
Method: DFT, meta-GGA SCAN
State: single point on PBEsol structure

```
data_Al2CdAs
_chemical_formula_sum 'Al2 Cd1 As1'
_symmetry_space_group_name_H-M 'P 4 m m'
_symmetry_Int_Tables_number 99
_symmetry_space_group_name_Hall 'P 4 -2'
_cell_length_a 3.058
_cell_length_b 3.058
_cell_length_c 7.918
_cell_angle_alpha 90.00
_cell_angle_beta 90.00
_cell_angle_gamma 90.00
loop_
_atom_site_label
_atom_site_type_symbol
_atom_site_fract_x
_atom_site_fract_y
_atom_site_fract_z
_atom_site_occupancy
Al1 Al 0.000 0.000 0.000 1
Al2 Al 0.500 0.500 0.231 1
Cd1 Cd 0.500 0.500 0.736 1
As1 As 0.000 0.000 0.447 1
```

Properties
The total energy comes out at -65.6 eV for the cell shown. The density of states at the Fermi level is 1.36 states/eV/cell. As for the formation energy: 0.127 eV per atom. The total moment is 0.000 μB per formula unit.

Record 2
Material: HfAl2SiCl
Method: DFT, meta-GGA SCAN
State: single point on PBEsol structure

```
data_HfAl2SiCl
_chemical_formula_sum 'Hf1 Al2 Si1 Cl1'
_symmetry_space_group_name_H-M 'P 4/m m m'
_symmetry_Int_Tables_number 123
_symmetry_space_group_name_Hall '-P 4 2'
_cell_length_a 4.597
_cell_length_b 4.597
_cell_length_c 4.692
_cell_angle_alpha 90.00
_cell_angle_beta 90.00
_cell_angle_gamma 90.00
loop_
_atom_site_label
_atom_site_type_symbol
_atom_site_fract_x
_atom_site_fract_y
_atom_site_fract_z
_atom_site_occupancy
Hf1 Hf 0.000 0.000 0.000 1
Al1 Al 0.000 0.500 0.500 1
Si1 Si 0.500 0.500 0.000 1
Cl1 Cl 0.000 0.000 0.500 1
```

Properties
The uncorrected formation energy is 0.83 eV/atom. The total energy comes out at -92.0 eV for the cell shown. The density of states at the Fermi level is 2.16 states/eV/cell. The total moment is 0.000 μB per formula unit.

Record 3
Material: NiBPd3
Method: DFT, meta-GGA SCAN
State: single point on PBEsol structure

```
data_NiBPd3
_chemical_formula_sum 'Ni1 B1 Pd3'
_symmetry_space_group_name_H-M 'P m -3 m'
_symmetry_Int_Tables_number 221
_symmetry_space_group_name_Hall '-P 4 2 3'
_cell_length_a 4.050
_cell_length_b 4.050
_cell_length_c 4.050
_cell_angle_alpha 90.00
_cell_angle_beta 90.00
_cell_angle_gamma 90.00
loop_
_atom_site_label
_atom_site_type_symbol
_atom_site_fract_x
_atom_site_fract_y
_atom_site_fract_z
_atom_site_occupancy
Ni1 Ni 0.000 0.000 0.000 1
B1 B 0.500 0.500 0.500 1
Pd1 Pd 0.000 0.500 0.500 1
```

Properties
The total energy comes out at -121.5 eV for the cell shown. The density of states at the Fermi level is 5.42 states/eV/cell. As for the formation energy: 0.075 eV per atom. The total moment is 1.035 μB per formula unit.

Record 4
Material: IrOsCl2
Method: DFT, meta-GGA SCAN
State: single point on PBEsol structure

```
data_IrOsCl2
_chemical_formula_sum 'Ir1 Os1 Cl2'
_symmetry_space_group_name_H-M 'P 1 2/m 1'
_symmetry_Int_Tables_number 10
_symmetry_space_group_name_Hall '-P 2y'
_cell_length_a 2.893
_cell_length_b 4.191
_cell_length_c 4.920
_cell_angle_alpha 90.00
_cell_angle_beta 93.69
_cell_angle_gamma 90.00
loop_
_atom_site_label
_atom_site_type_symbol
_atom_site_fract_x
_atom_site_fract_y
_atom_site_fract_z
_atom_site_occupancy
Ir1 Ir 0.000 0.000 0.000 1
Os1 Os 0.500 0.000 0.500 1
Cl1 Cl 0.270 0.500 0.254 1
```

Properties
The uncorrected formation energy is 1.10 eV/atom. The total energy comes out at -154.5 eV for the cell shown. The density of states at the Fermi level is 3.53 states/eV/cell. The total moment is 0.001 μB per formula unit.